Model i:
Computed, not measured: a geometry-optimized Nb2AgBr structure at the PBE level of DFT.

Cell and atoms, written as CIF:
```
data_Nb2AgBr
_symmetry_space_group_name_H-M 'P 1'
_symmetry_Int_Tables_number 1
_cell_length_a 4.6757
_cell_length_b 4.6757
_cell_length_c 4.6757
_cell_angle_alpha 60.00
_cell_angle_beta 60.00
_cell_angle_gamma 60.00
loop_
_symmetry_equiv_pos_as_xyz
'x,y,z'
loop_
_atom_site_label
_atom_site_fract_x
_atom_site_fract_y
_atom_site_fract_z
_atom_site_occupancy
Nb1 0.7500 0.7500 0.7500 1
Nb2 0.2500 0.2500 0.2500 1
Br1 0.0000 0.0000 0.0000 1
Ag1 0.5000 0.5000 0.5000 1
```

Properties
mass density	8583	kg/m³
crystal system	cubic
space group	No. 225



Model ii:
Computed, not measured: a geometry-optimized Nb2AgBr structure at the PBE level of DFT.

Cell and atoms, written as CIF:
```
data_Nb2AgBr
_symmetry_space_group_name_H-M 'P 1'
_symmetry_Int_Tables_number 1
_cell_length_a 4.0061
_cell_length_b 4.0061
_cell_length_c 10.4874
_cell_angle_alpha 78.99
_cell_angle_beta 78.99
_cell_angle_gamma 90.00
loop_
_symmetry_equiv_pos_as_xyz
'x,y,z'
loop_
_atom_site_label
_atom_site_fract_x
_atom_site_fract_y
_atom_site_fract_z
_atom_site_occupancy
Br1 0.2500 0.7500 0.5000 1
Br2 0.5000 0.5000 0.0000 1
Nb1 0.1195 0.6250 0.2500 1
Nb2 0.6305 0.1250 0.2500 1
Nb3 0.8750 0.8805 0.7500 1
Nb4 0.3750 0.3695 0.7500 1
Ag1 0.0000 0.0000 0.0000 1
Ag2 0.7500 0.2500 0.5000 1
```

Properties
mass density	7656	kg/m³
crystal system	tetragonal
space group	No. 122



Relative calculated energies, zero for the most stable structure, unit eV/atom: model i 0.000; model ii 0.085.



Model i:
Computed, not measured: a geometry-optimized NbAg2Br6 structure at the PBE level of DFT.

Cell and atoms, written as CIF:
```
data_NbAg2Br6
_symmetry_space_group_name_H-M 'P 1'
_symmetry_Int_Tables_number 1
_cell_length_a 7.0219
_cell_length_b 7.0219
_cell_length_c 7.4263
_cell_angle_alpha 61.79
_cell_angle_beta 61.79
_cell_angle_gamma 60.00
loop_
_symmetry_equiv_pos_as_xyz
'x,y,z'
loop_
_atom_site_label
_atom_site_fract_x
_atom_site_fract_y
_atom_site_fract_z
_atom_site_occupancy
Br1 0.6322 0.2345 0.2420 1
Br2 0.2345 0.8913 0.2420 1
Br3 0.1087 0.3678 0.7580 1
Br4 0.8913 0.6322 0.2420 1
Br5 0.7655 0.1087 0.7580 1
Br6 0.3678 0.7655 0.7580 1
Ag1 0.2018 0.2018 0.3945 1
Ag2 0.7982 0.7982 0.6055 1
Nb1 0.0000 0.0000 0.0000 1
```

Properties
mass density	4925	kg/m³
crystal system	trigonal
space group	No. 148



Model ii:
Computed, not measured: a geometry-optimized NbAg2Br6 structure at the PBE level of DFT.

Cell and atoms, written as CIF:
```
data_NbAg2Br6
_symmetry_space_group_name_H-M 'P 1'
_symmetry_Int_Tables_number 1
_cell_length_a 6.3999
_cell_length_b 10.2892
_cell_length_c 10.2892
_cell_angle_alpha 94.26
_cell_angle_beta 85.71
_cell_angle_gamma 85.71
loop_
_symmetry_equiv_pos_as_xyz
'x,y,z'
loop_
_atom_site_label
_atom_site_fract_x
_atom_site_fract_y
_atom_site_fract_z
_atom_site_occupancy
Br1 0.0453 0.5131 0.2571 1
Br2 0.1177 0.8261 0.9576 1
Br3 0.4547 0.7429 0.4869 1
Br4 0.1202 0.0643 0.7124 1
Br5 0.3798 0.2876 0.9357 1
Br6 0.8823 0.1739 0.0424 1
Br7 0.5453 0.2571 0.5131 1
Br8 0.3823 0.0424 0.1739 1
Br9 0.6177 0.9576 0.8261 1
Br10 0.9547 0.4869 0.7429 1
Br11 0.8798 0.9357 0.2876 1
Br12 0.6202 0.7124 0.0643 1
Nb1 0.7500 0.9327 0.0673 1
Nb2 0.2500 0.0673 0.9327 1
Ag1 0.7960 0.3905 0.3920 1
Ag2 0.7040 0.6080 0.6095 1
Ag3 0.2040 0.6095 0.6080 1
Ag4 0.2960 0.3920 0.3905 1
```

Properties
mass density	3897	kg/m³
crystal system	monoclinic
space group	No. 15



Relative calculated energies, zero for the most stable structure, unit eV/atom: model i 0.000; model ii 0.011.



Model i:
Computed, not measured: a geometry-optimized NbAg3Br structure at the PBE level of DFT.

Cell and atoms, written as CIF:
```
data_NbAg3Br
_symmetry_space_group_name_H-M 'P 1'
_symmetry_Int_Tables_number 1
_cell_length_a 5.2922
_cell_length_b 5.2922
_cell_length_c 5.2922
_cell_angle_alpha 90.00
_cell_angle_beta 90.00
_cell_angle_gamma 90.00
loop_
_symmetry_equiv_pos_as_xyz
'x,y,z'
loop_
_atom_site_label
_atom_site_fract_x
_atom_site_fract_y
_atom_site_fract_z
_atom_site_occupancy
Nb1 0.0000 0.0000 0.0000 1
Br1 0.5000 0.5000 0.5000 1
Ag1 0.0000 0.5000 0.0000 1
Ag2 0.0000 0.0000 0.5000 1
Ag3 0.5000 0.0000 0.0000 1
```

Properties
mass density	5561	kg/m³
crystal system	cubic
space group	No. 221



Model ii:
Computed, not measured: a geometry-optimized NbAg3Br structure at the PBE level of DFT.

Cell and atoms, written as CIF:
```
data_NbAg3Br
_symmetry_space_group_name_H-M 'P 1'
_symmetry_Int_Tables_number 1
_cell_length_a 5.1283
_cell_length_b 5.1283
_cell_length_c 5.1283
_cell_angle_alpha 90.00
_cell_angle_beta 90.00
_cell_angle_gamma 90.00
loop_
_symmetry_equiv_pos_as_xyz
'x,y,z'
loop_
_atom_site_label
_atom_site_fract_x
_atom_site_fract_y
_atom_site_fract_z
_atom_site_occupancy
Ag1 0.0000 0.0000 0.5000 1
Ag2 0.0000 0.5000 0.0000 1
Ag3 0.5000 0.0000 0.0000 1
Br1 0.0000 0.0000 0.0000 1
Nb1 0.5000 0.5000 0.5000 1
```

Properties
mass density	6112	kg/m³
crystal system	cubic
space group	No. 221



Relative calculated energies, zero for the most stable structure, unit eV/atom: model i 0.000; model ii 0.012.



Model i:
Computed, not measured: a geometry-optimized Nb3AgBr structure at the PBE level of DFT.

Cell and atoms, written as CIF:
```
data_Nb3AgBr
_symmetry_space_group_name_H-M 'P 1'
_symmetry_Int_Tables_number 1
_cell_length_a 5.0100
_cell_length_b 5.0100
_cell_length_c 5.0100
_cell_angle_alpha 90.00
_cell_angle_beta 90.00
_cell_angle_gamma 90.00
loop_
_symmetry_equiv_pos_as_xyz
'x,y,z'
loop_
_atom_site_label
_atom_site_fract_x
_atom_site_fract_y
_atom_site_fract_z
_atom_site_occupancy
Ag1 0.0000 0.0000 0.0000 1
Nb1 0.5000 0.0000 0.0000 1
Nb2 0.0000 0.5000 0.0000 1
Nb3 0.0000 0.0000 0.5000 1
Br1 0.5000 0.5000 0.5000 1
```

Properties
mass density	6160	kg/m³
crystal system	cubic
space group	No. 221



Model ii:
Computed, not measured: a geometry-optimized Nb3AgBr structure at the PBE level of DFT.

Cell and atoms, written as CIF:
```
data_Nb3AgBr
_symmetry_space_group_name_H-M 'P 1'
_symmetry_Int_Tables_number 1
_cell_length_a 4.7562
_cell_length_b 4.7562
_cell_length_c 4.7562
_cell_angle_alpha 90.00
_cell_angle_beta 90.00
_cell_angle_gamma 90.00
loop_
_symmetry_equiv_pos_as_xyz
'x,y,z'
loop_
_atom_site_label
_atom_site_fract_x
_atom_site_fract_y
_atom_site_fract_z
_atom_site_occupancy
Nb1 0.5000 0.0000 0.0000 1
Nb2 0.0000 0.0000 0.5000 1
Nb3 0.0000 0.5000 0.0000 1
Ag1 0.5000 0.5000 0.5000 1
Br1 0.0000 0.0000 0.0000 1
```

Properties
mass density	7200	kg/m³
crystal system	cubic
space group	No. 221



Relative calculated energies, zero for the most stable structure, unit eV/atom: model i 0.643; model ii 0.000.



Model i:
Computed, not measured: a geometry-optimized NbAgSeBr2 structure at the PBE level of DFT.

Cell and atoms, written as CIF:
```
data_NbAgSeBr2
_symmetry_space_group_name_H-M 'P 1'
_symmetry_Int_Tables_number 1
_cell_length_a 5.1449
_cell_length_b 5.1449
_cell_length_c 5.2148
_cell_angle_alpha 90.00
_cell_angle_beta 90.00
_cell_angle_gamma 90.00
loop_
_symmetry_equiv_pos_as_xyz
'x,y,z'
loop_
_atom_site_label
_atom_site_fract_x
_atom_site_fract_y
_atom_site_fract_z
_atom_site_occupancy
Br1 0.5000 0.0000 0.0000 1
Br2 0.0000 0.5000 0.0000 1
Se1 0.0000 0.0000 0.5000 1
Nb1 0.5000 0.5000 0.5000 1
Ag1 0.0000 0.0000 0.0000 1
```

Properties
mass density	5288	kg/m³
crystal system	tetragonal
space group	No. 123



Model ii:
Computed, not measured: a geometry-optimized NbAgSeBr2 structure at the PBE level of DFT.

Cell and atoms, written as CIF:
```
data_NbAgSeBr2
_symmetry_space_group_name_H-M 'P 1'
_symmetry_Int_Tables_number 1
_cell_length_a 5.2653
_cell_length_b 5.2653
_cell_length_c 5.0201
_cell_angle_alpha 90.00
_cell_angle_beta 90.00
_cell_angle_gamma 90.00
loop_
_symmetry_equiv_pos_as_xyz
'x,y,z'
loop_
_atom_site_label
_atom_site_fract_x
_atom_site_fract_y
_atom_site_fract_z
_atom_site_occupancy
Ag1 0.5000 0.5000 0.5000 1
Se1 0.0000 0.0000 0.5000 1
Br1 0.5000 0.0000 0.0000 1
Br2 0.0000 0.5000 0.0000 1
Nb1 0.0000 0.0000 0.0000 1
```

Properties
mass density	5244	kg/m³
crystal system	tetragonal
space group	No. 123



Relative calculated energies, zero for the most stable structure, unit eV/atom: model i 0.778; model ii 0.000.



Model i:
Computed, not measured: a geometry-optimized Nd2AgBr structure at the PBE level of DFT.

Cell and atoms, written as CIF:
```
data_Nd2AgBr
_symmetry_space_group_name_H-M 'P 1'
_symmetry_Int_Tables_number 1
_cell_length_a 4.3851
_cell_length_b 4.3851
_cell_length_c 7.4197
_cell_angle_alpha 72.81
_cell_angle_beta 72.81
_cell_angle_gamma 60.00
loop_
_symmetry_equiv_pos_as_xyz
'x,y,z'
loop_
_atom_site_label
_atom_site_fract_x
_atom_site_fract_y
_atom_site_fract_z
_atom_site_occupancy
Nd1 0.7483 0.7483 0.7552 1
Nd2 0.2517 0.2517 0.2448 1
Br1 0.5000 0.5000 0.5000 1
Ag1 0.0000 0.0000 0.0000 1
```

Properties
mass density	6809	kg/m³
crystal system	trigonal
space group	No. 166



Model ii:
Computed, not measured: a geometry-optimized Nd2AgBr structure at the PBE level of DFT.

Cell and atoms, written as CIF:
```
data_Nd2AgBr
_symmetry_space_group_name_H-M 'P 1'
_symmetry_Int_Tables_number 1
_cell_length_a 4.1535
_cell_length_b 4.1535
_cell_length_c 8.3218
_cell_angle_alpha 75.55
_cell_angle_beta 75.55
_cell_angle_gamma 60.00
loop_
_symmetry_equiv_pos_as_xyz
'x,y,z'
loop_
_atom_site_label
_atom_site_fract_x
_atom_site_fract_y
_atom_site_fract_z
_atom_site_occupancy
Nd1 0.0765 0.0765 0.7705 1
Nd2 0.2571 0.2571 0.2288 1
Br1 0.4990 0.4990 0.5030 1
Ag1 0.6674 0.6674 0.9977 1
```

Properties
mass density	6642	kg/m³
crystal system	trigonal
space group	No. 160



Relative calculated energies, zero for the most stable structure, unit eV/atom: model i 0.000; model ii 0.044.